Entry 1:
Here is Li2AcZnF8 after structural relaxation from the Alexandria database. Energies are from PBE.

Symmetry ... P-3m1
Crystal system ... trigonal
Total energy ... -4.8387 eV per atom

Unit cell a=5.6810 b=5.6810 c=6.7734 alpha=90.00 beta=90.00 gamma=120.00
Fractional positions:
F  0.6972  0.8486  0.8010
F  0.8486  0.1514  0.1990
Ac  0.0000  0.0000  0.5000
F  0.1514  0.8486  0.8010
Zn  0.0000  0.0000  0.0000
F  0.3333  0.6667  0.4847
F  0.1514  0.3028  0.8010
F  0.3028  0.1514  0.1990
F  0.6667  0.3333  0.5153
Li  0.6667  0.3333  0.2369
Li  0.3333  0.6667  0.7631
F  0.8486  0.6972  0.1990



Entry 2:
Here is RbF3 after structural relaxation from the Alexandria database. Energies are from PBE.

Symmetry ... Pm-3m
Crystal system ... cubic
Total energy ... -2.7902 eV per atom

Unit cell a=4.1365 b=4.1365 c=4.1365 alpha=90.00 beta=90.00 gamma=90.00
Fractional positions:
F  0.5000  0.5000  0.0000
Rb  0.0000  0.0000  0.0000
F  0.0000  0.5000  0.5000
F  0.5000  0.0000  0.5000



Question: Look up the total energy of the second one.
Answer: -2.7902 eV per atom